(1)
# Ca2EuLu

An optimized crystal structure of Ca2EuLu (PBE, Alexandria).

## Properties
* calculated total energy: -18.18 eV per cell
* SG: Fm-3m (225)
* energy above the lowest structure with this stoichiometry: 25 meV per atom
* formation energy: 0.6 eV/f.u.
* crystal system: cubic
* ρ: 4.5 g/cm3
* DOS at the Fermi energy: 5.055 states/eV per cell
* total moment: 7.76 μB/f.u.

Lattice parameters (Å, degrees): 5.9565 5.9565 5.9565 60.00 60.00 60.00
Site moments in Bohr magnetons follow the coordinates.
Positions (direct):
Eu1 0.5000 0.5000 0.5000  6.92
Ca1 0.2500 0.2500 0.2500  0.03
Ca2 0.7500 0.7500 0.7500  0.03
Lu1 0.0000 0.0000 0.0000  0.10

***

(2)
# CaEuLuMg

An optimized crystal structure of CaEuLuMg (PBE, Alexandria).

## Properties
* calculated total energy: -17.98 eV per cell
* SG: F-43m (216)
* formation energy: 0.4 eV/f.u.
* crystal system: cubic
* ρ: 5.0 g/cm3
* DOS at the Fermi energy: 3.573 states/eV per cell
* total moment: 7.80 μB/f.u.

Lattice parameters (Å, degrees): 5.6729 5.6729 5.6729 60.00 60.00 60.00
Site moments in Bohr magnetons follow the coordinates.
Positions (direct):
Eu1 0.5000 0.5000 0.5000  -6.95
Ca1 0.2500 0.2500 0.2500  -0.05
Lu1 0.7500 0.7500 0.7500  -0.21
Mg1 0.0000 0.0000 0.0000  0.01

***

(3)
# CaNdEuLu

An optimized crystal structure of CaNdEuLu (PBE, Alexandria).

## Properties
* calculated total energy: -21.03 eV per cell
* SG: F-43m (216)
* formation energy: 0.5 eV/f.u.
* crystal system: cubic
* ρ: 5.9 g/cm3
* DOS at the Fermi energy: 5.800 states/eV per cell
* total moment: 7.24 μB/f.u.

Lattice parameters (Å, degrees): 5.8820 5.8820 5.8820 60.00 60.00 60.00
Site moments in Bohr magnetons follow the coordinates.
Positions (direct):
Eu1 0.0000 0.0000 0.0000  6.86
Ca1 0.2500 0.2500 0.2500  0.01
Lu1 0.7500 0.7500 0.7500  0.04
Nd1 0.5000 0.5000 0.5000  -0.01

***

(4)
# CaPmEuLu

An optimized crystal structure of CaPmEuLu (PBE, Alexandria).

## Properties
* calculated total energy: -20.99 eV per cell
* SG: F-43m (216)
* formation energy: 0.6 eV/f.u.
* crystal system: cubic
* ρ: 6.0 g/cm3
* DOS at the Fermi energy: 5.791 states/eV per cell
* total moment: 7.26 μB/f.u.

Lattice parameters (Å, degrees): 5.8659 5.8659 5.8659 60.00 60.00 60.00
Site moments in Bohr magnetons follow the coordinates.
Positions (direct):
Eu1 0.0000 0.0000 0.0000  6.86
Ca1 0.7500 0.7500 0.7500  0.01
Lu1 0.2500 0.2500 0.2500  0.04
Pm1 0.5000 0.5000 0.5000  0.00

***

(5)
# CaTbEuLu

An optimized crystal structure of CaTbEuLu (PBE, Alexandria).

## Properties
* calculated total energy: -20.80 eV per cell
* SG: F-43m (216)
* formation energy: 0.6 eV/f.u.
* crystal system: cubic
* ρ: 6.3 g/cm3
* DOS at the Fermi energy: 5.811 states/eV per cell
* total moment: 7.38 μB/f.u.

Lattice parameters (Å, degrees): 5.8147 5.8147 5.8147 60.00 60.00 60.00
Site moments in Bohr magnetons follow the coordinates.
Positions (direct):
Eu1 0.0000 0.0000 0.0000  6.86
Ca1 0.2500 0.2500 0.2500  0.02
Lu1 0.7500 0.7500 0.7500  0.07
Tb1 0.5000 0.5000 0.5000  0.03

***

(6)
# CaEuLuTl

An optimized crystal structure of CaEuLuTl (PBE, Alexandria).

## Properties
* calculated total energy: -19.37 eV per cell
* SG: F-43m (216)
* formation energy: -0.2 eV/f.u.
* crystal system: cubic
* ρ: 7.6 g/cm3
* DOS at the Fermi energy: 2.816 states/eV per cell
* total moment: 7.33 μB/f.u.

Lattice parameters (Å, degrees): 5.6183 5.6183 5.6183 60.00 60.00 60.00
Site moments in Bohr magnetons follow the coordinates.
Positions (direct):
Eu1 0.2500 0.2500 0.2500  6.89
Tl1 0.0000 0.0000 0.0000  -0.02
Lu1 0.7500 0.7500 0.7500  0.06
Ca1 0.5000 0.5000 0.5000  0.04

***

(7)
# CaEuYLu

An optimized crystal structure of CaEuYLu (PBE, Alexandria).

## Properties
* calculated total energy: -22.63 eV per cell
* SG: F-43m (216)
* formation energy: 0.6 eV/f.u.
* crystal system: cubic
* ρ: 5.4 g/cm3
* DOS at the Fermi energy: 6.196 states/eV per cell
* total moment: 7.50 μB/f.u.

Lattice parameters (Å, degrees): 5.8235 5.8235 5.8235 60.00 60.00 60.00
Site moments in Bohr magnetons follow the coordinates.
Positions (direct):
Eu1 0.2500 0.2500 0.2500  -6.87
Y1 0.7500 0.7500 0.7500  -0.04
Ca1 0.5000 0.5000 0.5000  -0.02
Lu1 0.0000 0.0000 0.0000  -0.09

***

(8)
# CaEu4Mg

An optimized crystal structure of CaEu4Mg (PBE, Alexandria).

## Properties
* calculated total energy: -43.52 eV per cell
* SG: F-43m (216)
* formation energy: 1.2 eV/f.u.
* crystal system: cubic
* ρ: 4.6 g/cm3
* DOS at the Fermi energy: 6.229 states/eV per cell
* total moment: 30.43 μB/f.u.

Lattice parameters (Å, degrees): 6.9949 6.9949 6.9949 60.00 60.00 60.00
Site moments in Bohr magnetons follow the coordinates.
Positions (direct):
Eu1 0.6254 0.6254 0.1237  7.08
Eu2 0.6254 0.1237 0.6254  7.08
Eu3 0.6254 0.6254 0.6254  7.08
Eu4 0.1237 0.6254 0.6254  7.08
Ca1 0.2500 0.2500 0.2500  0.04
Mg1 0.0000 0.0000 0.0000  -0.01

***

(9)
# CaEuMg2

An optimized crystal structure of CaEuMg2 (PBE, Alexandria).

## Properties
* calculated total energy: -15.80 eV per cell
* SG: P4/mmm (123)
* energy above the lowest structure with this stoichiometry: 0 meV per atom
* formation energy: -0.3 eV/f.u.
* crystal system: tetragonal
* ρ: 3.1 g/cm3
* DOS at the Fermi energy: 10.127 states/eV per cell
* total moment: 7.34 μB/f.u.

Lattice parameters (Å, degrees): 3.8287 5.7603 5.7603 90.00 90.00 90.00
Site moments in Bohr magnetons follow the coordinates.
Positions (direct):
Eu1 0.5000 0.5000 0.5000  6.93
Ca1 0.5000 0.0000 0.0000  -0.02
Mg1 0.0000 0.0000 0.5000  0.00
Mg2 0.0000 0.5000 0.0000  0.00

***

(10)
# CaEuMg2

An optimized crystal structure of CaEuMg2 (PBE, Alexandria).

## Properties
* calculated total energy: -15.80 eV per cell
* SG: Fm-3m (225)
* energy above the lowest structure with this stoichiometry: 2 meV per atom
* formation energy: -0.3 eV/f.u.
* crystal system: cubic
* ρ: 3.1 g/cm3
* DOS at the Fermi energy: 10.818 states/eV per cell
* total moment: 7.60 μB/f.u.

Lattice parameters (Å, degrees): 5.6423 5.6423 5.6423 60.00 60.00 60.00
Site moments in Bohr magnetons follow the coordinates.
Positions (direct):
Eu1 0.0000 0.0000 0.0000  6.91
Ca1 0.5000 0.5000 0.5000  0.02
Mg1 0.2500 0.2500 0.2500  0.01
Mg2 0.7500 0.7500 0.7500  0.01

***

(11)
# CaEuMg4

An optimized crystal structure of CaEuMg4 (PBE, Alexandria).

## Properties
* calculated total energy: -19.34 eV per cell
* SG: F-43m (216)
* formation energy: -0.7 eV/f.u.
* crystal system: cubic
* ρ: 2.8 g/cm3
* DOS at the Fermi energy: 12.635 states/eV per cell
* total moment: 7.34 μB/f.u.

Lattice parameters (Å, degrees): 6.2442 6.2442 6.2442 60.00 60.00 60.00
Site moments in Bohr magnetons follow the coordinates.
Positions (direct):
Eu1 0.0000 0.0000 0.0000  6.90
Ca1 0.2500 0.2500 0.2500  0.02
Mg1 0.6250 0.6250 0.1249  0.00
Mg2 0.6250 0.1249 0.6250  0.00
Mg3 0.6250 0.6250 0.6250  0.00
Mg4 0.1249 0.6250 0.6250  0.00

***

(12)
# CaEuMg

An optimized crystal structure of CaEuMg (PBE, Alexandria).

## Properties
* calculated total energy: -13.79 eV per cell
* SG: P3m1 (156)
* energy above the lowest structure with this stoichiometry: 68 meV per atom
* formation energy: 0.1 eV/f.u.
* crystal system: trigonal
* ρ: 3.4 g/cm3
* DOS at the Fermi energy: 2.823 states/eV per cell
* total moment: 7.71 μB/f.u.

Lattice parameters (Å, degrees): 3.6053 5.8139 5.8139 120.00 90.00 90.00
Site moments in Bohr magnetons follow the coordinates.
Positions (direct):
Eu1 0.6779 0.3333 0.6667  6.99
Ca1 0.2795 0.6667 0.3333  0.05
Mg1 0.0426 0.0000 0.0000  0.00

***

(13)
# CaEuMg

An optimized crystal structure of CaEuMg (PBE, Alexandria).

## Properties
* calculated total energy: -14.00 eV per cell
* SG: I4mm (107)
* energy above the lowest structure with this stoichiometry: 0 meV per atom
* formation energy: -0.1 eV/f.u.
* crystal system: tetragonal
* ρ: 3.4 g/cm3
* DOS at the Fermi energy: 9.193 states/eV per cell
* total moment: 7.50 μB/f.u.

Lattice parameters (Å, degrees): 3.9362 3.9362 7.4538 105.31 105.31 90.00
Site moments in Bohr magnetons follow the coordinates.
Positions (direct):
Eu1 0.3158 0.3158 0.6317  6.95
Ca1 0.0204 0.0204 0.0407  0.03
Mg1 0.6638 0.6638 0.3276  0.00

***

(14)
# NaCaEuMg

An optimized crystal structure of NaCaEuMg (PBE, Alexandria).

## Properties
* calculated total energy: -15.10 eV per cell
* SG: F-43m (216)
* formation energy: 0.1 eV/f.u.
* crystal system: cubic
* ρ: 2.8 g/cm3
* DOS at the Fermi energy: 11.495 states/eV per cell
* total moment: 7.66 μB/f.u.

Lattice parameters (Å, degrees): 5.8428 5.8428 5.8428 60.00 60.00 60.00
Site moments in Bohr magnetons follow the coordinates.
Positions (direct):
Eu1 0.2500 0.2500 0.2500  -6.97
Na1 0.0000 0.0000 0.0000  -0.01
Ca1 0.7500 0.7500 0.7500  -0.03
Mg1 0.5000 0.5000 0.5000  -0.01

***

(15)
# CaNdEuMg

An optimized crystal structure of CaNdEuMg (PBE, Alexandria).

## Properties
* calculated total energy: -18.43 eV per cell
* SG: F-43m (216)
* formation energy: 0.2 eV/f.u.
* crystal system: cubic
* ρ: 4.3 g/cm3
* DOS at the Fermi energy: 9.748 states/eV per cell
* total moment: 7.63 μB/f.u.

Lattice parameters (Å, degrees): 5.8049 5.8049 5.8049 60.00 60.00 60.00
Site moments in Bohr magnetons follow the coordinates.
Positions (direct):
Eu1 0.7500 0.7500 0.7500  6.92
Ca1 0.5000 0.5000 0.5000  0.04
Nd1 0.2500 0.2500 0.2500  0.08
Mg1 0.0000 0.0000 0.0000  0.00

***

(16)
# CaEuMgPb

An optimized crystal structure of CaEuMgPb (PBE, Alexandria).

## Properties
* calculated total energy: -19.12 eV per cell
* SG: F-43m (216)
* formation energy: -1.5 eV/f.u.
* crystal system: cubic
* ρ: 5.7 g/cm3
* DOS at the Fermi energy: 0.999 states/eV per cell
* total moment: 7.17 μB/f.u.

Lattice parameters (Å, degrees): 5.5870 5.5870 5.5870 60.00 60.00 60.00
Site moments in Bohr magnetons follow the coordinates.
Positions (direct):
Pb1 0.5000 0.5000 0.5000  -0.03
Eu1 0.2500 0.2500 0.2500  6.87
Ca1 0.7500 0.7500 0.7500  0.01
Mg1 0.0000 0.0000 0.0000  0.01

***

(17)
# CaPmEuMg

An optimized crystal structure of CaPmEuMg (PBE, Alexandria).

## Properties
* calculated total energy: -18.39 eV per cell
* SG: F-43m (216)
* formation energy: 0.2 eV/f.u.
* crystal system: cubic
* ρ: 4.4 g/cm3
* DOS at the Fermi energy: 10.248 states/eV per cell
* total moment: 7.60 μB/f.u.

Lattice parameters (Å, degrees): 5.7907 5.7907 5.7907 60.00 60.00 60.00
Site moments in Bohr magnetons follow the coordinates.
Positions (direct):
Eu1 0.7500 0.7500 0.7500  6.91
Ca1 0.5000 0.5000 0.5000  0.04
Mg1 0.0000 0.0000 0.0000  0.00
Pm1 0.2500 0.2500 0.2500  0.08

***

(18)
# CaEuMgPt

An optimized crystal structure of CaEuMgPt (PBE, Alexandria).

## Properties
* calculated total energy: -21.67 eV per cell
* SG: F-43m (216)
* formation energy: -1.8 eV/f.u.
* crystal system: cubic
* ρ: 6.8 g/cm3
* DOS at the Fermi energy: 6.668 states/eV per cell
* total moment: 7.17 μB/f.u.

Lattice parameters (Å, degrees): 5.2257 5.2257 5.2257 60.00 60.00 60.00
Site moments in Bohr magnetons follow the coordinates.
Positions (direct):
Eu1 0.0000 0.0000 0.0000  6.82
Ca1 0.5000 0.5000 0.5000  0.02
Mg1 0.7500 0.7500 0.7500  0.01
Pt1 0.2500 0.2500 0.2500  -0.04

***

(19)
# CaEuMgSi

An optimized crystal structure of CaEuMgSi (PBE, Alexandria).

## Properties
* ΔE_f (raw): -1.0 eV per formula unit
* calculated total energy: -20.26 eV per cell
* SG: F-43m (216)
* crystal system: cubic
* ρ: 3.9 g/cm3
* DOS at the Fermi energy: 1.292 states/eV per cell
* total moment: 7.20 μB/f.u.

Lattice parameters (Å, degrees): 5.2880 5.2880 5.2880 60.00 60.00 60.00
Site moments in Bohr magnetons follow the coordinates.
Positions (direct):
Eu1 0.0000 0.0000 0.0000  6.84
Ca1 0.5000 0.5000 0.5000  0.03
Mg1 0.2500 0.2500 0.2500  0.01
Si1 0.7500 0.7500 0.7500  -0.04

***

(20)
# SrCaEuMg

An optimized crystal structure of SrCaEuMg (PBE, Alexandria).

## Properties
* calculated total energy: -15.43 eV per cell
* SG: F-43m (216)
* formation energy: 0.1 eV/f.u.
* crystal system: cubic
* ρ: 3.2 g/cm3
* DOS at the Fermi energy: 11.874 states/eV per cell
* total moment: 7.94 μB/f.u.

Lattice parameters (Å, degrees): 6.0703 6.0703 6.0703 60.00 60.00 60.00
Site moments in Bohr magnetons follow the coordinates.
Positions (direct):
Eu1 0.2500 0.2500 0.2500  6.97
Sr1 0.7500 0.7500 0.7500  0.04
Ca1 0.5000 0.5000 0.5000  0.06
Mg1 0.0000 0.0000 0.0000  0.01

***

(21)
# CaTbEuMg

An optimized crystal structure of CaTbEuMg (PBE, Alexandria).

## Properties
* calculated total energy: -18.18 eV per cell
* SG: F-43m (216)
* formation energy: 0.3 eV/f.u.
* crystal system: cubic
* ρ: 4.7 g/cm3
* DOS at the Fermi energy: 7.739 states/eV per cell
* total moment: 7.55 μB/f.u.

Lattice parameters (Å, degrees): 5.7428 5.7428 5.7428 60.00 60.00 60.00
Site moments in Bohr magnetons follow the coordinates.
Positions (direct):
Eu1 0.2500 0.2500 0.2500  6.90
Ca1 0.5000 0.5000 0.5000  0.04
Tb1 0.7500 0.7500 0.7500  0.10
Mg1 0.0000 0.0000 0.0000  0.00

***

(22)
# CaEuMgTl

An optimized crystal structure of CaEuMgTl (PBE, Alexandria).

## Properties
* calculated total energy: -17.37 eV per cell
* SG: F-43m (216)
* formation energy: -1.1 eV/f.u.
* crystal system: cubic
* ρ: 5.7 g/cm3
* DOS at the Fermi energy: 10.386 states/eV per cell
* total moment: 7.06 μB/f.u.

Lattice parameters (Å, degrees): 5.5667 5.5667 5.5667 60.00 60.00 60.00
Site moments in Bohr magnetons follow the coordinates.
Positions (direct):
Eu1 0.2500 0.2500 0.2500  6.84
Tl1 0.0000 0.0000 0.0000  -0.01
Mg1 0.5000 0.5000 0.5000  0.00
Ca1 0.7500 0.7500 0.7500  0.00

***

(23)
# CaEuTmMg

An optimized crystal structure of CaEuTmMg (PBE, Alexandria).

## Properties
* calculated total energy: -17.96 eV per cell
* SG: F-43m (216)
* formation energy: 0.4 eV/f.u.
* crystal system: cubic
* ρ: 4.9 g/cm3
* DOS at the Fermi energy: 3.510 states/eV per cell
* total moment: 7.78 μB/f.u.

Lattice parameters (Å, degrees): 5.6859 5.6859 5.6859 60.00 60.00 60.00
Site moments in Bohr magnetons follow the coordinates.
Positions (direct):
Eu1 0.5000 0.5000 0.5000  -6.94
Ca1 0.7500 0.7500 0.7500  -0.05
Tm1 0.2500 0.2500 0.2500  -0.24
Mg1 0.0000 0.0000 0.0000  0.01

***

(24)
# CaEuMgZn

An optimized crystal structure of CaEuMgZn (PBE, Alexandria).

## Properties
* calculated total energy: -15.68 eV per cell
* SG: F-43m (216)
* formation energy: -0.5 eV/f.u.
* crystal system: cubic
* ρ: 4.1 g/cm3
* DOS at the Fermi energy: 6.855 states/eV per cell
* total moment: 7.45 μB/f.u.

Lattice parameters (Å, degrees): 5.4397 5.4397 5.4397 60.00 60.00 60.00
Site moments in Bohr magnetons follow the coordinates.
Positions (direct):
Eu1 0.7500 0.7500 0.7500  6.88
Zn1 0.0000 0.0000 0.0000  0.02
Mg1 0.5000 0.5000 0.5000  0.01
Ca1 0.2500 0.2500 0.2500  0.02